TeMoAs | SCAN | PBEsol geometry

POSCAR file:
```
TeMoAs
1.0
-0.0934 2.8462 1.1222
0.9779 -2.0292 2.0724
6.1812 0.6374 -3.6984
Mo As Te
1 1 1
direct
0.3425 0.3425 0.6850
0.9711 0.9711 0.9422
0.6864 0.6864 0.3728
```

## Properties
**D(E_F)**: 2.33 states/eV per cell
**ΔE_f (raw)**: 1.0 eV/f.u.